Entry 1:
PaAl2Tc: optimized geometry, PBE.

Cell lengths 4.4597, 7.0239, 5.0289 Å; angles 90.00, 107.23, 90.00 degrees
Closest atoms and distances in Å follow each position.
Space group P2_1/m (No. 11)
Inequivalent atoms, fractional coordinates:
Pa: 0.0341 0.2500 0.1488  2 Tc 2.60-2.62
Al: 0.4045 0.0565 0.7233  3 Tc 2.66-2.76, 3 Al 2.72-2.77
Tc: 0.1321 0.7500 0.3966  2 Pa 2.60-2.62, 6 Al 2.66-2.76

The value obtained for the mass density is 8.454 g cm⁻³. For the electronic total energy, the calculation gives -58.4 eV per cell.


Entry 2:
Zr4Nb2Bi3N3: optimized geometry, PBE.

Cell lengths 10.4570, 6.0323, 14.0195 Å; angles 90.00, 104.37, 90.00 degrees
Closest atoms and distances in Å follow each position.
Space group C2/c (No. 15)
Inequivalent atoms, fractional coordinates:
Zr: 0.1104 0.0890 0.0818  3 N 2.28-2.30
Zr: 0.2250 0.0798 0.4181  3 N 2.28-2.29
Nb: 0.0548 0.4198 0.9271  3 N 2.25-2.29
Bi: 0.0000 0.0922 0.7500  4 Zr 3.07, 2 Nb 3.11, 2 Bi 3.38
Bi: 0.1619 0.4222 0.2504  4 Zr 3.04-3.08, 2 Nb 3.07-3.11, 2 Bi 3.38
N: 0.0856 0.2446 0.5000  2 Nb 2.25, 4 Zr 2.29-2.30
N: 0.2500 0.2500 0.0000  4 Zr 2.28, 2 Nb 2.29

The value obtained for the mass density is 9.457 g cm⁻³. For the electronic total energy, the calculation gives -402.4 eV per cell.


Entry 3:
KDyAl: optimized geometry, PBE.

Cell lengths 7.3319, 7.3319, 7.3319 Å; angles 90.00, 90.00, 90.00 degrees
Closest atoms and distances in Å follow each position.
Space group F-43m (No. 216)
Inequivalent atoms, fractional coordinates:
K: 0.0000 0.0000 0.0000  4 Dy 3.17, 4 Al 3.17
Dy: 0.2500 0.2500 0.2500  4 K 3.17
Al: 0.2500 0.2500 0.7500  4 K 3.17

The value obtained for the mass density is 3.852 g cm⁻³. For the electronic total energy, the calculation gives -25.7 eV per cell.


Entry 4:
Ta14W: optimized geometry, PBE.

Cell lengths 10.1875, 10.1875, 5.3381 Å; angles 90.00, 90.00, 90.00 degrees
Closest atoms and distances in Å follow each position.
Space group P4_2/mnm (No. 136)
Inequivalent atoms, fractional coordinates:
Ta: 0.0349 0.3708 0.0000  6 Ta 2.73-2.92
Ta: 0.0662 0.2591 0.5000  1 W 2.72, 9 Ta 2.78-2.96
Ta: 0.1036 0.1036 0.0000  7 Ta 2.81-3.13, 2 W 3.06
Ta: 0.1808 0.8192 0.2488  6 Ta 2.66-2.96, 1 W 2.93
W: 0.0000 0.0000 0.5000  8 Ta 2.72-2.93

The value obtained for the mass density is 16.288 g cm⁻³. For the formation energy, the calculation gives -0.011 eV/atom.


Entry 5:
SrEr2: optimized geometry, PBE.

Cell lengths 9.7289, 9.7289, 9.7289 Å; angles 90.00, 90.00, 90.00 degrees
Closest atoms and distances in Å follow each position.
Space group Fd-3m (No. 227, origin choice 2)
Inequivalent atoms, fractional coordinates:
Sr: 0.1250 0.1250 0.1250  12 Er 4.03, 4 Sr 4.21
Er: 0.0000 0.0000 0.5000  6 Er 3.44

The value obtained for the mass density is 6.090 g cm⁻³. Its polymorph energy (0 for the lowest one) is 0 kJ/mol of formula units.


Entry 6:
ZnCuAg: optimized geometry, PBE.

Cell lengths 5.6213, 4.0776, 7.6745 Å; angles 90.00, 90.00, 90.00 degrees
Closest atoms and distances in Å follow each position.
Space group Pnma (No. 62)
Inequivalent atoms, fractional coordinates:
Zn: 0.1963 0.2500 0.0798  4 Cu 2.48-2.73
Cu: 0.2113 0.2500 0.4096  4 Zn 2.48-2.73, 3 Ag 2.70-2.72
Ag: 0.0308 0.2500 0.7384  5 Cu 2.70-2.83, 5 Zn 2.78-2.83, 2 Ag 2.82

The value obtained for the mass density is 8.942 g cm⁻³. Its polymorph energy (0 for the lowest one) is 2 kJ/mol of formula units. For the formation energy, the calculation gives 0.005 eV/atom.


Entry 7:
SrCdB4: optimized geometry, PBE.

Cell lengths 3.1631, 5.5641, 8.7688 Å; angles 90.00, 90.00, 90.00 degrees
Closest atoms and distances in Å follow each position.
Space group Immm (No. 71)
Inequivalent atoms, fractional coordinates:
Sr: 0.0000 0.0000 0.0000  12 B 2.84-2.86, 2 Sr 3.16
Cd: 0.0000 0.0000 0.5000  12 B 2.77-2.92
B: 0.0000 0.3147 0.2546  2 B 1.74

The value obtained for the mass density is 5.235 g cm⁻³. Its polymorph energy (0 for the lowest one) is 0 kJ/mol of formula units.


Entry 8:
PPbAuO: optimized geometry, PBE.

Cell lengths 4.1038, 6.7624, 6.3056 Å; angles 90.00, 90.00, 90.00 degrees
Closest atoms and distances in Å follow each position.
Space group Pmc2_1 (No. 26)
Inequivalent atoms, fractional coordinates:
P: 0.0000 0.1456 0.0000  2 Au 2.34-2.37
Pb: 0.5000 0.3209 0.1935  2 O 2.20-2.24
Au: 0.0000 0.1793 0.6262  2 P 2.34-2.37, 2 O 2.54
O: 0.5000 0.3857 0.5417  2 Pb 2.20-2.24

The value obtained for the mass density is 8.562 g cm⁻³. Its polymorph energy (0 for the lowest one) is 100 kJ/mol of formula units.


Entry 9:
HoTm2Lu: optimized geometry, PBE.

Cell lengths 7.0986, 12.2933, 5.4993 Å; angles 90.00, 90.00, 90.00 degrees
Closest atoms and distances in Å follow each position.
Space group Cmcm (No. 63)
Inequivalent atoms, fractional coordinates:
Ho: 0.0000 0.1669 0.2500  4 Lu 3.43-3.55, 8 Tm 3.43-3.55
Tm: 0.2493 0.4167 0.2500  4 Lu 3.43-3.56, 4 Tm 3.43-3.56, 4 Ho 3.43-3.55
Lu: 0.0000 0.3337 0.7500  8 Tm 3.43-3.56, 4 Ho 3.43-3.55

The value obtained for the mass density is 9.381 g cm⁻³. For the formation energy, the calculation gives -0.001 eV/atom.


Entry 10:
TbHo4Bi5: optimized geometry, PBE.

Cell lengths 4.4533, 4.4533, 31.4882 Å; angles 90.00, 90.00, 90.00 degrees
Closest atoms and distances in Å follow each position.
Space group I4/mmm (No. 139)
Inequivalent atoms, fractional coordinates:
Tb: 0.0000 0.0000 0.0000  6 Bi 3.15-3.16
Ho: 0.0000 0.0000 0.2003  6 Bi 3.14-3.15
Ho: 0.0000 0.0000 0.4000  6 Bi 3.15
Bi: 0.0000 0.0000 0.1005  5 Ho 3.14-3.15, 1 Tb 3.16
Bi: 0.0000 0.0000 0.3001  6 Ho 3.14-3.15
Bi: 0.0000 0.0000 0.5000  4 Tb 3.15, 2 Ho 3.15

The value obtained for the mass density is 9.911 g cm⁻³. For the electronic total energy, the calculation gives -103.6 eV per cell.


Entry 11:
Li2AgAu: optimized geometry, PBE.

Cell lengths 6.4044, 6.4044, 6.4044 Å; angles 90.00, 90.00, 90.00 degrees
Closest atoms and distances in Å follow each position.
Space group F-43m (No. 216)
Inequivalent atoms, fractional coordinates:
Li: 0.0000 0.0000 0.0000  4 Au 2.77, 4 Li 2.77
Li: 0.2500 0.2500 0.2500  4 Li 2.77, 4 Ag 2.77
Ag: 0.0000 0.0000 0.5000  4 Li 2.77, 4 Au 2.77
Au: 0.2500 0.2500 0.7500  4 Li 2.77, 4 Ag 2.77

The value obtained for the mass density is 8.059 g cm⁻³. Its polymorph energy (0 for the lowest one) is 17 kJ/mol of formula units.


Entry 12:
CsNdSeO: optimized geometry, PBE.

Cell lengths 3.9707, 3.9707, 15.4614 Å; angles 90.00, 90.00, 120.00 degrees
Closest atoms and distances in Å follow each position.
Space group P-3m1 (No. 164)
Inequivalent atoms, fractional coordinates:
Cs: 0.3333 0.6667 0.2143  3 O 3.20, 3 Se 3.50
Nd: 0.0000 0.0000 0.0000  6 O 2.53
Nd: 0.0000 0.0000 0.5000  6 Se 2.90
Se: 0.3333 0.6667 0.6151  3 Nd 2.90
O: 0.3333 0.6667 0.9300  3 Nd 2.53

The value obtained for the mass density is 5.854 g cm⁻³. Its polymorph energy (0 for the lowest one) is 67 kJ/mol of formula units.


Entry 13:
TmTaTc: optimized geometry, PBE.

Cell lengths 6.3691, 6.3691, 6.3691 Å; angles 90.00, 90.00, 90.00 degrees
Closest atoms and distances in Å follow each position.
Space group F-43m (No. 216)
Inequivalent atoms, fractional coordinates:
Tm: 0.0000 0.0000 0.0000  4 Ta 2.76, 4 Tc 2.76
Ta: 0.2500 0.2500 0.7500  4 Tm 2.76
Tc: 0.2500 0.2500 0.2500  4 Tm 2.76

The value obtained for the mass density is 11.514 g cm⁻³. For the formation energy, the calculation gives 1.450 eV/atom.


Entry 14:
GdDyCu2As2P2: optimized geometry, PBE.

Cell lengths 3.8286, 3.8286, 9.7818 Å; angles 90.00, 90.00, 90.00 degrees
Closest atoms and distances in Å follow each position.
Space group P4mm (No. 99)
Inequivalent atoms, fractional coordinates:
Gd: 0.0000 0.0000 0.0000  4 P 2.90, 4 As 3.06, 4 Cu 3.16
Dy: 0.5000 0.5000 0.4869  4 P 2.89, 4 As 3.05, 4 Cu 3.15
Cu: 0.0000 0.5000 0.7426  4 P 2.42, 4 Cu 2.71
As: 0.0000 0.5000 0.2446  4 As 2.71
P: 0.0000 0.0000 0.5912  4 Cu 2.42
P: 0.5000 0.5000 0.8936  4 Cu 2.42

The value obtained for the mass density is 7.628 g cm⁻³. For the electronic total energy, the calculation gives -43.9 eV per cell.


Entry 15:
MgOs: optimized geometry, PBE.

Cell lengths 5.2165, 4.4537, 8.2516 Å; angles 90.00, 91.03, 90.00 degrees
Closest atoms and distances in Å follow each position.
Space group Pm (No. 6)
Inequivalent atoms, fractional coordinates:
Mg: 0.0000 0.0000 0.0000  5 Os 2.64-2.78, 5 Mg 2.67-2.87
Mg: 0.0027 0.0000 0.3434  5 Mg 2.65-2.92, 5 Os 2.70-2.83
Mg: 0.2823 0.5000 0.9252  3 Os 2.60-2.79, 2 Mg 2.75
Mg: 0.4862 0.0000 0.4456  5 Mg 2.65-2.84, 5 Os 2.65-2.78
Mg: 0.5241 0.0000 0.1126  5 Mg 2.67-2.98, 5 Os 2.82-2.95
Mg: 0.7791 0.5000 0.5206  3 Os 2.62-2.79, 4 Mg 2.76-2.92
Os: 0.0600 0.0000 0.6833  4 Os 2.62-2.72, 2 Mg 2.64-2.81
Os: 0.2723 0.5000 0.5872  3 Os 2.46-2.62, 4 Mg 2.62-2.76
Os: 0.2822 0.5000 0.2886  2 Os 2.46-2.49, 2 Mg 2.70
Os: 0.5570 0.0000 0.7640  4 Os 2.60-2.72, 2 Mg 2.65-2.88
Os: 0.7671 0.5000 0.8585  3 Os 2.46-2.60, 2 Mg 2.60-2.73
Os: 0.8511 0.5000 0.1533  2 Os 2.46-2.49, 2 Mg 2.68

The value obtained for the mass density is 11.152 g cm⁻³. For the electronic total energy, the calculation gives -74.1 eV per cell.


Entry 16:
LaZn5P3: optimized geometry, PBE.

Cell lengths 3.8608, 12.1642, 14.3134 Å; angles 90.00, 90.00, 90.00 degrees
Closest atoms and distances in Å follow each position.
Space group Cmcm (No. 63)
Inequivalent atoms, fractional coordinates:
La: 0.0000 0.0985 0.2500  6 P 2.91-3.10
Zn: 0.0000 0.0000 0.0000  4 P 2.51
Zn: 0.0000 0.2745 0.5579  1 P 2.41, 2 Zn 2.61
Zn: 0.0000 0.3469 0.1416  3 P 2.36-2.55
P: 0.0000 0.2025 0.7500  4 Zn 2.55
P: 0.0000 0.4636 0.6076  4 Zn 2.36-2.51

The value obtained for the mass density is 5.522 g cm⁻³. For the electronic total energy, the calculation gives -121.7 eV per cell.


Entry 17:
Cs2Ho2Se3O: optimized geometry, PBE.

Cell lengths 4.0116, 4.0116, 16.1308 Å; angles 90.00, 90.00, 120.00 degrees
Closest atoms and distances in Å follow each position.
Space group P3m1 (No. 156)
Inequivalent atoms, fractional coordinates:
Cs: 0.0000 0.0000 0.0000  3 O 3.29, 3 Se 3.48
Cs: 0.3333 0.6667 0.4689  6 Se 3.48-3.55
Ho: 0.6667 0.3333 0.2033  3 O 2.50
Ho: 0.6667 0.3333 0.7361  6 Se 2.83-2.85
Se: 0.0000 0.0000 0.3075  3 Ho 2.86
Se: 0.0000 0.0000 0.6358  3 Ho 2.83
Se: 0.3333 0.6667 0.8389  3 Ho 2.85
O: 0.3333 0.6667 0.1449  3 Ho 2.50

The value obtained for the mass density is 6.268 g cm⁻³. For the electronic total energy, the calculation gives -41.0 eV per cell.


Entry 18:
AcSmSc: optimized geometry, PBE.

Cell lengths 7.7599, 7.7599, 7.7599 Å; angles 90.00, 90.00, 90.00 degrees
Closest atoms and distances in Å follow each position.
Space group F-43m (No. 216)
Inequivalent atoms, fractional coordinates:
Ac: 0.0000 0.0000 0.0000  4 Sc 3.36
Sm: 0.0000 0.0000 0.5000  4 Sc 3.36
Sc: 0.2500 0.2500 0.2500  4 Ac 3.36, 4 Sm 3.36

The value obtained for the mass density is 6.003 g cm⁻³. Its polymorph energy (0 for the lowest one) is 0 kJ/mol of formula units. For the formation energy, the calculation gives 0.628 eV/atom.


Entry 19:
Lu4PSN2: optimized geometry, PBE.

Cell lengths 3.5571, 3.5571, 12.2322 Å; angles 90.00, 90.00, 120.00 degrees
Closest atoms and distances in Å follow each position.
Space group P-6m2 (No. 187)
Inequivalent atoms, fractional coordinates:
Lu: 0.0000 0.0000 0.1418  3 N 2.49, 3 P 2.69
Lu: 0.3333 0.6667 0.3520  3 N 2.36
P: 0.3333 0.6667 0.0000  6 Lu 2.69
S: 0.0000 0.0000 0.5000  6 Lu 2.74
N: 0.6667 0.3333 0.2571  6 Lu 2.36-2.49

The value obtained for the mass density is 9.798 g cm⁻³. For the electronic total energy, the calculation gives -57.8 eV per cell.


Entry 20:
Sc4SiNiC2: optimized geometry, PBE.

Cell lengths 3.3077, 3.3077, 13.3115 Å; angles 90.00, 90.00, 120.00 degrees
Closest atoms and distances in Å follow each position.
Space group P-6m2 (No. 187)
Inequivalent atoms, fractional coordinates:
Sc: 0.0000 0.0000 0.1480  3 C 2.27
Sc: 0.3333 0.6667 0.3347  3 C 2.28
Si: 0.0000 0.0000 0.5000  6 Sc 2.91
Ni: 0.3333 0.6667 0.0000  6 Sc 2.74
C: 0.6667 0.3333 0.2405  6 Sc 2.27-2.28

The value obtained for the mass density is 3.826 g cm⁻³. For the electronic total energy, the calculation gives -58.2 eV per cell.


Entry 21:
CsAgTe3Ir: optimized geometry, PBE.

Cell lengths 4.0710, 17.1828, 10.8362 Å; angles 90.00, 90.00, 90.00 degrees
Closest atoms and distances in Å follow each position.
Space group Cmcm (No. 63)
Inequivalent atoms, fractional coordinates:
Cs: 0.0000 0.2389 0.2500  2 Ag 3.76, 8 Te 3.93-4.05, 2 Cs 4.07
Ag: 0.0000 0.4454 0.7500  4 Te 2.70-2.80
Te: 0.0000 0.0574 0.7500  2 Ag 2.80, 2 Ir 2.88
Te: 0.0000 0.3958 0.5135  1 Ag 2.70, 2 Ir 2.72
Ir: 0.0000 0.0000 0.0000  6 Te 2.72-2.88

The value obtained for the mass density is 7.148 g cm⁻³. Its polymorph energy (0 for the lowest one) is 68 kJ/mol of formula units.


Entry 22:
TbY2In3Cu2Pt: optimized geometry, PBE.

Cell lengths 3.9658, 13.0691, 7.5459 Å; angles 90.00, 90.00, 90.00 degrees
Closest atoms and distances in Å follow each position.
Space group Amm2 (No. 38)
Inequivalent atoms, fractional coordinates:
Tb: 0.0000 0.0000 0.0000  4 Cu 3.03, 1 Pt 3.05, 6 In 3.19-3.34
Y: 0.0000 0.2022 0.6066  4 Cu 3.03, 1 Pt 3.05, 6 In 3.19-3.34
In: 0.5000 0.0000 0.6682  2 Pt 2.81, 2 Cu 2.82
In: 0.5000 0.1320 0.2729  2 Pt 2.81, 2 Cu 2.81
Cu: 0.5000 0.1666 0.9048  3 In 2.81-2.82, 2 Tb 3.03, 4 Y 3.03
Pt: 0.0000 0.0000 0.4046  6 In 2.81, 2 Y 3.05, 1 Tb 3.05

The value obtained for the mass density is 8.520 g cm⁻³. For the electronic total energy, the calculation gives -89.1 eV per cell.


Entry 23:
TaCoBAu: optimized geometry, PBE.

Cell lengths 5.9331, 5.9331, 5.9331 Å; angles 90.00, 90.00, 90.00 degrees
Closest atoms and distances in Å follow each position.
Space group F-43m (No. 216)
Inequivalent atoms, fractional coordinates:
Ta: 0.0000 0.0000 0.0000  4 Co 2.57, 4 B 2.57
Co: 0.2500 0.2500 0.2500  4 Ta 2.57, 4 Au 2.57
B: 0.2500 0.2500 0.7500  4 Ta 2.57, 4 Au 2.57
Au: 0.0000 0.0000 0.5000  4 Co 2.57, 4 B 2.57

The value obtained for the mass density is 14.236 g cm⁻³. Its polymorph energy (0 for the lowest one) is 0 kJ/mol of formula units.